Material: Sr6As2Se3Br
Method: DFT, PBE
State: optimized geometry

a = 10.0766 Å, b = 10.0766 Å, c = 9.2246 Å
α = 103.48°, β = 103.48°, γ = 24.96°
Closest atoms and distances in Å follow each position.
Fractional positions:
Sr (0.0028, 0.0028, 0.2685)  3 Se 3.06-3.14, 1 As 3.09, 2 Br 3.29
Sr (0.3260, 0.3260, 0.9130)  3 Se 3.14-3.15, 2 As 3.15, 1 Br 3.33
Sr (0.3307, 0.3307, 0.4147)  3 As 3.18-3.20, 3 Se 3.21-3.24
Sr (0.6693, 0.6693, 0.5853)  3 As 3.18-3.20, 3 Se 3.21-3.24
Sr (0.6740, 0.6740, 0.0870)  3 Se 3.14-3.15, 2 As 3.15, 1 Br 3.33
Sr (0.9972, 0.9972, 0.7315)  3 Se 3.06-3.14, 1 As 3.09, 2 Br 3.29
As (0.1642, 0.1642, 0.3281)  6 Sr 3.09-3.20
As (0.8358, 0.8358, 0.6719)  6 Sr 3.09-3.20
Se (0.1611, 0.1611, 0.8359)  6 Sr 3.14-3.21
Se (0.5000, 0.5000, 0.5000)  6 Sr 3.06-3.24
Se (0.8389, 0.8389, 0.1641)  6 Sr 3.14-3.21
Br (0.5000, 0.5000, 0.0000)  6 Sr 3.29-3.33

---

Material: Sr4AsSeBr2
Method: DFT, PBE
State: optimized geometry

a = 7.8074 Å, b = 4.5296 Å, c = 7.8260 Å
α = 90.00°, β = 109.54°, γ = 90.00°
Closest atoms and distances in Å follow each position.
Fractional positions:
Sr (0.2208, 0.0000, 0.2343)  2 As 3.06, 1 Se 3.11, 3 Br 3.28-3.34
Sr (0.2228, 0.5000, 0.7471)  1 As 3.04, 2 Se 3.11, 3 Br 3.30-3.35
Sr (0.7772, 0.5000, 0.2529)  1 As 3.04, 2 Se 3.11, 3 Br 3.30-3.35
Sr (0.7792, 0.0000, 0.7657)  2 As 3.06, 1 Se 3.11, 3 Br 3.28-3.34
As (0.0000, 0.5000, 0.0000)  6 Sr 3.04-3.06
Se (0.0000, 0.0000, 0.5000)  6 Sr 3.11
Br (0.5000, 0.0000, 0.0000)  6 Sr 3.28-3.30
Br (0.5000, 0.5000, 0.5000)  6 Sr 3.34-3.35

---

Material: Sr4AsSe2Br
Method: DFT, PBE
State: optimized geometry

a = 7.7540 Å, b = 4.5092 Å, c = 7.7549 Å
α = 90.00°, β = 108.82°, γ = 90.00°
Closest atoms and distances in Å follow each position.
Fractional positions:
Sr (0.2284, 0.0000, 0.2393)  1 As 3.09, 3 Se 3.09-3.22, 2 Br 3.30
Sr (0.2357, 0.5000, 0.7468)  3 Se 3.08-3.25, 2 As 3.14, 1 Br 3.22
Sr (0.7643, 0.5000, 0.2532)  3 Se 3.08-3.25, 2 As 3.14, 1 Br 3.22
Sr (0.7716, 0.0000, 0.7607)  1 As 3.09, 3 Se 3.09-3.22, 2 Br 3.30
As (0.0000, 0.0000, 0.5000)  6 Sr 3.09-3.14
Se (0.0000, 0.5000, 0.0000)  6 Sr 3.08-3.09
Se (0.5000, 0.0000, 0.0000)  6 Sr 3.22-3.25
Br (0.5000, 0.5000, 0.5000)  6 Sr 3.22-3.30

---

Result set for energy relative to the elements, uncorrected: -1.68 -1.67 -1.80 eV per atom, one per record in the order listed.